## SrCaCrBiO6 (PBE with a Hubbard U)

Data for an optimized crystal structure of SrCaCrBiO6.

## Properties
DOS(E_F) = 0.12 states/eV/cell
E = -6.3687 eV/atom
total magnetic moment = 12.0 μB per cell

Cell: 8.1451 8.1451 8.1451 Å, 90.00 90.00 90.00°
Last column: nearest neighbours and their distance in Å.
Space group F-43m (No. 216)
Inequivalent atoms, fractional coordinates:
Sr 0.0000 0.0000 0.0000 [4 per cell]  12 O 2.88
Ca 0.0000 0.0000 0.5000 [4 per cell]  12 O 2.88
Cr 0.2500 0.2500 0.7500 [4 per cell]  6 O 1.99
Bi 0.2500 0.2500 0.2500 [4 per cell]  6 O 2.08
O 0.0056 0.2500 0.7500 [24 per cell]  1 Cr 1.99, 1 Bi 2.08